# 1
# Mg4TcRu

An optimized crystal structure of Mg4TcRu (PBE, the Alexandria database).

## Properties
M_tot	2.455	μB/f.u.
E_form	0.598	eV per atom

abc: 7.480 7.480 7.480
angles: 90.00 90.00 90.00
Space group F-43m (No. 216)
Inequivalent atoms, fractional coordinates:
Mg1 0.125 0.125 0.125 (multiplicity 16)
Tc1 0.000 0.000 0.500 (multiplicity 4)
Ru1 0.250 0.250 0.750 (multiplicity 4)



# 2
# MgTcRu

An optimized crystal structure of MgTcRu (PBE, the Alexandria database).

## Properties
M_tot	0.000	μB/f.u.
E_form	0.109	eV per atom

abc: 2.8114 2.8114 6.8014
angles: 90.00 90.00 120.00
Space group P3m1 (No. 156)
Inequivalent atoms, fractional coordinates:
Mg1 0.0000 0.0000 0.0000 (multiplicity 1)
Tc1 0.3333 0.6667 0.6421 (multiplicity 1)
Ru1 0.6667 0.3333 0.3466 (multiplicity 1)